# PBE-GGA Ca2Tc, optimized geometry
data_Ca2Tc
_symmetry_space_group_name_H-M 'I m m m'
_symmetry_Int_Tables_number 71
_symmetry_space_group_name_Hall '-I 2 2'
_cell_length_a 3.0476
_cell_length_b 4.7139
_cell_length_c 9.9277
_cell_angle_alpha 90.00
_cell_angle_beta 90.00
_cell_angle_gamma 90.00
loop_
_atom_site_label
_atom_site_type_symbol
_atom_site_fract_x
_atom_site_fract_y
_atom_site_fract_z
Ca1 Ca 0.0000 0.0000 0.1533
Tc1 Tc 0.0000 0.0000 0.5000
# * total moment: 0.00 μB per cell
# * ΔE_f: 0.64 eV per atom
# * DFT total energy: -4.15 eV per atom
# * ΔE to the lowest computed polymorph: 0.399 eV/atom
# * DOS(E_F): 3.9 states/eV per cell